Entry 1:
Rb2SrCdI6 after structural relaxation, computed with PBE-GGA.

Cell and atoms, written as POSCAR:
```
Rb2SrCdI6
1.0
8.7374 0.0002 -0.0005
4.3688 7.5681 -0.0004
4.3679 2.5228 7.0589
Rb Sr Cd I
2 1 1 6
direct
0.5444 0.5443 0.3671 Rb
0.0458 0.0457 0.8628 Rb
0.8180 0.8180 0.5459 Sr
0.3184 0.3183 0.0449 Cd
0.5644 0.1628 0.2753 I
0.1626 0.9977 0.2752 I
0.9976 0.5647 0.2750 I
0.4760 0.6434 0.7895 I
0.6433 0.0908 0.7898 I
0.0911 0.4759 0.7896 I
```

Results
The formation energy without anion corrections comes out at -1249.1 meV/atom. Its mass density is 4.0 g cm⁻³.


Entry 2:
CuRe2W after structural relaxation, computed with PBE-GGA.

Cell and atoms, written as POSCAR:
```
CuRe2W
1.0
3.2156 0.0000 0.0000
0.0000 3.2156 0.0000
0.0000 0.0000 5.6612
Cu Re W
1 2 1
direct
0.5000 0.5000 0.7500 Cu
0.0000 0.0000 0.9849 Re
0.0000 0.0000 0.5151 Re
0.5000 0.5000 0.2500 W
```

Results
Its energy of formation is 1.02 eV/f.u. Its mass density is 17.6 g cm⁻³.


Entry 3:
NpInIr2 after structural relaxation, computed with PBE-GGA.

Cell and atoms, written as POSCAR:
```
NpInIr2
1.0
3.0847 0.0000 0.0000
0.0000 4.9137 0.0000
0.0000 0.0000 4.9137
Np Ir In
1 2 1
direct
0.5000 0.5000 0.5000 Np
0.0000 0.0000 0.5000 Ir
0.0000 0.5000 0.0000 Ir
0.5000 0.0000 0.0000 In
```

Results
Its energy of formation is -0.56 eV/f.u. Its mass density is 16.4 g cm⁻³.


Entry 4:
CsZn2Ga after structural relaxation, computed with PBE-GGA.

Cell and atoms, written as POSCAR:
```
CsZn2Ga
1.0
-1.4901 -1.8199 3.7669
2.8485 -1.0298 3.2477
-0.3728 5.3386 5.0086
Cs Zn Ga
1 2 1
direct
0.4988 0.4988 0.5005 Cs
0.9938 0.9938 0.0201 Zn
0.3156 0.3156 0.0548 Zn
0.6918 0.6918 0.9246 Ga
```

Results
Its energy of formation is -0.13 eV/f.u. Its mass density is 4.7 g cm⁻³.


Entry 5:
ZnSi2Cl after structural relaxation, computed with PBE-GGA.

Cell and atoms, written as POSCAR:
```
ZnSi2Cl
1.0
4.6005 0.0566 0.0000
-0.1246 4.5992 0.0000
-2.2380 -2.3279 3.2772
Cl Si Zn
1 2 1
direct
0.7500 0.2500 0.5000 Cl
0.0000 0.0000 0.0000 Si
0.2500 0.7500 0.5000 Si
0.5000 0.5000 0.0000 Zn
```

Results
The formation energy without anion corrections comes out at 454.3 meV/atom. Its mass density is 3.8 g cm⁻³.


Entry 6:
LiBePd2 after structural relaxation, computed with PBE-GGA.

Cell and atoms, written as POSCAR:
```
LiBePd2
1.0
-2.7003 0.7855 0.5992
-0.8757 0.1670 2.7337
0.9422 7.4660 1.3578
Li Be Pd
1 1 2
direct
0.5001 0.5001 0.4996 Li
0.6665 0.6665 0.0004 Be
0.0717 0.0717 0.7849 Pd
0.2616 0.2616 0.2151 Pd
```

Results
Its energy of formation is -1.65 eV/f.u. Its mass density is 7.1 g cm⁻³.


Entry 7:
U2AsO after structural relaxation, computed with PBE-GGA.

Cell and atoms, written as POSCAR:
```
U2AsO
1.0
-0.3559 -2.7137 1.8653
-1.2029 -1.6394 -2.6145
6.0501 -1.8917 -1.5975
As U O
1 2 1
direct
0.5000 0.5000 0.5000 As
0.0000 0.0000 0.7765 U
0.0000 0.0000 0.2235 U
0.5000 0.5000 0.0000 O
```

Results
The formation energy without anion corrections comes out at -905.8 meV/atom. Its mass density is 13.1 g cm⁻³.


Entry 8:
YFe2Bi2 after structural relaxation, computed with PBE-GGA.

Cell and atoms, written as POSCAR:
```
YFe2Bi2
1.0
4.3794 0.0000 0.0000
0.0000 4.3794 0.0000
2.1897 2.1897 5.6357
Y Bi Fe
1 2 2
direct
0.0000 0.0000 0.0000 Y
0.3650 0.3650 0.2699 Bi
0.6350 0.6350 0.7301 Bi
0.7500 0.2500 0.5000 Fe
0.2500 0.7500 0.5000 Fe
```

Results
Its energy of formation is 1.31 eV/f.u. Its mass density is 9.5 g cm⁻³.


Entry 9:
CdGa2SnS6 after structural relaxation, computed with PBE-GGA.

Cell and atoms, written as POSCAR:
```
CdGa2SnS6
1.0
6.5292 -0.3447 -0.3577
1.6592 8.2124 0.2191
1.6592 -0.0854 8.2148
Cd Ga Sn S
2 4 2 12
direct
0.2500 0.9070 0.0930 Cd
0.7500 0.0930 0.9070 Cd
0.2137 0.7770 0.5980 Ga
0.2863 0.4020 0.2230 Ga
0.7863 0.2230 0.4020 Ga
0.7137 0.5980 0.7770 Ga
0.2500 0.2684 0.7316 Sn
0.7500 0.7316 0.2684 Sn
0.1393 0.9775 0.7885 S
0.3607 0.2115 0.0225 S
0.8607 0.0225 0.2115 S
0.6393 0.7885 0.9775 S
0.3998 0.8800 0.3765 S
0.1002 0.6235 0.1200 S
0.6002 0.1200 0.6235 S
0.8998 0.3765 0.8800 S
0.8847 0.7230 0.5561 S
0.6153 0.4439 0.2770 S
0.1153 0.2770 0.4439 S
0.3847 0.5561 0.7230 S
```

Results
The formation energy without anion corrections comes out at -487.3 meV/atom. Its mass density is 4.2 g cm⁻³.


Entry 10:
Rb2PrBr5 after structural relaxation, computed with PBE-GGA.

Cell and atoms, written as POSCAR:
```
Rb2PrBr5
1.0
-5.4692 -6.3677 2.7543
4.9375 -6.3729 -4.9292
8.2774 -2.2596 11.2127
Rb Pr Br
8 4 20
direct
0.9379 0.0054 0.8286 Rb
0.0621 0.9946 0.1714 Rb
0.4379 0.9946 0.6714 Rb
0.0621 0.5054 0.1714 Rb
0.5621 0.0054 0.3286 Rb
0.9379 0.4946 0.8286 Rb
0.5621 0.4946 0.3286 Rb
0.4379 0.5054 0.6714 Rb
0.9260 0.7500 0.5056 Pr
0.0740 0.2500 0.4944 Pr
0.4260 0.2500 0.9944 Pr
0.5740 0.7500 0.0056 Pr
0.1144 0.7500 0.6790 Br
0.8856 0.2500 0.3210 Br
0.6144 0.2500 0.8210 Br
0.3856 0.7500 0.1790 Br
0.8346 0.0441 0.5705 Br
0.1654 0.9559 0.4295 Br
0.3346 0.9559 0.9295 Br
0.1654 0.5441 0.4295 Br
0.6654 0.0441 0.0705 Br
0.8346 0.4559 0.5705 Br
0.6654 0.4559 0.0705 Br
0.3346 0.5441 0.9295 Br
0.5882 0.7500 0.5107 Br
0.4118 0.2500 0.4893 Br
0.0882 0.2500 0.9893 Br
0.9118 0.7500 0.0107 Br
0.6508 0.7500 0.8015 Br
0.3492 0.2500 0.1985 Br
0.1508 0.2500 0.6985 Br
0.8492 0.7500 0.3015 Br
```

Results
The formation energy without anion corrections comes out at -1864.3 meV/atom. Its mass density is 4.0 g cm⁻³.


Entry 11:
Pu3NpSe4 after structural relaxation, computed with PBE-GGA.

Cell and atoms, written as POSCAR:
```
Pu3NpSe4
1.0
3.7123 0.0000 0.5668
1.8129 3.2395 0.5668
-1.2508 -0.7334 20.6327
Np Se Pu
1 4 3
direct
0.0000 0.0000 0.0000 Np
0.3053 0.3053 0.0840 Se
0.5872 0.5872 0.2385 Se
0.6947 0.6947 0.9160 Se
0.4128 0.4128 0.7615 Se
0.5459 0.5459 0.3624 Pu
0.5000 0.5000 0.5000 Pu
0.4541 0.4541 0.6376 Pu
```

Results
The formation energy without anion corrections comes out at -75.5 meV/atom. Its mass density is 8.5 g cm⁻³.


Entry 12:
Rb2Te2S after structural relaxation, computed with PBE-GGA.

Cell and atoms, written as POSCAR:
```
Rb2Te2S
1.0
7.1783 0.0000 0.0000
0.0000 7.1783 0.0000
3.5892 3.5892 4.1450
S Te Rb
1 2 2
direct
0.0000 0.0000 0.0000 S
0.3207 0.3207 0.3586 Te
0.6793 0.6793 0.6414 Te
0.7500 0.2500 0.5000 Rb
0.2500 0.7500 0.5000 Rb
```

Results
The formation energy without anion corrections comes out at -525.5 meV/atom. Its mass density is 3.6 g cm⁻³.


Question: Look up the mass density of the first one.
Answer: 4.0 g cm⁻³


Question: Which of these has the lowest mass density?
Answer: Rb2Te2S


Question: Among the records above, which one has the highest mass density?
Answer: CuRe2W


What did the seventh record say?
U2AsO after structural relaxation, computed with PBE-GGA.

Cell and atoms, written as POSCAR:
```
U2AsO
1.0
-0.3559 -2.7137 1.8653
-1.2029 -1.6394 -2.6145
6.0501 -1.8917 -1.5975
As U O
1 2 1
direct
0.5000 0.5000 0.5000 As
0.0000 0.0000 0.7765 U
0.0000 0.0000 0.2235 U
0.5000 0.5000 0.0000 O
```

Results
The formation energy without anion corrections comes out at -905.8 meV/atom. Its mass density is 13.1 g cm⁻³.